1.
The following is a DFT calculation (SCAN) of a PBEsol-optimized structure of YAgS2.

Unit cell a=6.629 b=6.629 c=6.629 alpha=90.00 beta=90.00 gamma=90.00
Fractional coordinates of all 16 atoms:
Y: 0.000 0.000 0.000
Y: 0.000 0.500 0.500
Y: 0.500 0.000 0.500
Y: 0.500 0.500 0.000
Ag: 0.000 0.000 0.500
Ag: 0.000 0.500 0.000
Ag: 0.500 0.000 0.000
Ag: 0.500 0.500 0.500
S: 0.250 0.250 0.250
S: 0.250 0.250 0.750
S: 0.250 0.750 0.250
S: 0.250 0.750 0.750
S: 0.750 0.250 0.250
S: 0.750 0.250 0.750
S: 0.750 0.750 0.250
S: 0.750 0.750 0.750

## Properties
E_form (uncorrected), eV/atom: -1.2766
Symmetry: Fm-3m (225)
Mass density, kg/m3: 5950
E, eV per cell: -334.29

=====

2.
The following is a DFT calculation (SCAN) of a PBEsol-optimized structure of KAgRh.

Unit cell a=2.833 b=2.833 c=14.603 alpha=90.00 beta=90.00 gamma=90.00
Fractional coordinates of all 6 atoms:
K: 0.000 0.000 0.000
K: 0.500 0.500 0.500
Ag: 0.000 0.000 0.696
Ag: 0.500 0.500 0.196
Rh: 0.000 0.000 0.327
Rh: 0.500 0.500 0.827

## Properties
Symmetry: I4mm (107)
Energy of formation from the pure elements, meV per atom: 553
Mass density, kg/m3: 7083
E, eV per cell: -143.62
D(E_F), states/eV/atom: 0.64

=====

3.
The following is a DFT calculation (SCAN) of a PBEsol-optimized structure of CdHg2Sb.

Unit cell a=4.197 b=4.197 c=5.847 alpha=90.00 beta=90.00 gamma=90.00
Fractional coordinates of all 4 atoms:
Cd: 0.000 0.000 0.000
Hg: 0.000 0.000 0.500
Hg: 0.500 0.500 0.500
Sb: 0.500 0.500 0.000

## Properties
E_form (uncorrected), eV/atom: 0.0144
Symmetry: P4/mmm (123)
ΔE to the lowest computed polymorph, eV per atom: 0.000
Mass density, kg/m3: 10242
E, eV per cell: -203.95
D(E_F), states/eV/atom: 0.34

=====

4.
The following is a DFT calculation (SCAN) of a PBEsol-optimized structure of SrYCoGe2.

Unit cell a=5.238 b=5.238 c=6.006 alpha=90.00 beta=90.00 gamma=90.00
Fractional coordinates of all 5 atoms:
Sr: 0.000 0.000 0.000
Y: 0.000 0.000 0.500
Co: 0.500 0.500 0.000
Ge: 0.000 0.500 0.500
Ge: 0.500 0.000 0.500

## Properties
Symmetry: P4/mmm (123)
Energy of formation from the pure elements, meV per atom: 1188
Mass density, kg/m3: 3837
E, eV per cell: -99.66
D(E_F), states/eV/atom: 1.18

=====

5.
The following is a DFT calculation (SCAN) of a PBEsol-optimized structure of Ta2Cr3Si.

Unit cell a=4.807 b=4.807 c=8.012 alpha=90.00 beta=90.00 gamma=120.00
Fractional coordinates of all 12 atoms:
Ta: 0.333 0.667 0.065
Ta: 0.333 0.667 0.435
Ta: 0.667 0.333 0.565
Ta: 0.667 0.333 0.935
Cr: 0.172 0.344 0.750
Cr: 0.172 0.828 0.750
Cr: 0.344 0.172 0.250
Cr: 0.656 0.828 0.750
Cr: 0.828 0.172 0.250
Cr: 0.828 0.656 0.250
Si: 0.000 0.000 0.000
Si: 0.000 0.000 0.500

## Properties
E_form (uncorrected), eV/atom: -0.3687
Symmetry: P6_3/mmc (194)
Mass density, kg/m3: 11310
E, eV per cell: -401.10
D(E_F), states/eV/atom: 0.30

=====

6.
The following is a DFT calculation (SCAN) of a PBEsol-optimized structure of HfCrSe2.

Unit cell a=5.823 b=5.823 c=11.478 alpha=90.00 beta=90.00 gamma=90.00
Fractional coordinates of all 16 atoms:
Hf: 0.000 0.000 0.000
Hf: 0.000 0.500 0.250
Hf: 0.500 0.000 0.750
Hf: 0.500 0.500 0.500
Cr: 0.000 0.000 0.500
Cr: 0.000 0.500 0.750
Cr: 0.500 0.000 0.250
Cr: 0.500 0.500 0.000
Se: 0.237 0.250 0.625
Se: 0.250 0.737 0.875
Se: 0.250 0.763 0.375
Se: 0.263 0.250 0.125
Se: 0.737 0.750 0.125
Se: 0.750 0.237 0.375
Se: 0.750 0.263 0.875
Se: 0.763 0.750 0.625

## Properties
E_form (uncorrected), eV/atom: -0.5925
Symmetry: I-42d (122)
ΔE to the lowest computed polymorph, eV per atom: 0.000
Mass density, kg/m3: 6628
E, eV per cell: -494.34
D(E_F), states/eV/atom: 0.32